DFT (GGA-PBE) results for an optimized crystal structure of PuScAsSe.

Cell lengths 6.946, 6.946, 6.946 Å; angles 33.64, 33.64, 33.64 degrees
Positions (direct):
Pu: 0.000 0.000 0.000
Sc: 0.505 0.505 0.505
As: 0.246 0.246 0.246
Se: 0.758 0.758 0.758

Properties
E_form (uncorrected), kJ per mole of atoms: -137.2



DFT (GGA-PBE) results for an optimized crystal structure of ZrSc.

Cell lengths 5.211, 5.211, 5.512 Å; angles 90.00, 90.00, 120.00 degrees
Positions (direct):
Zr: 0.333 0.667 0.250
Zr: 0.667 0.333 0.750
Sc: 0.333 0.667 0.750
Sc: 0.667 0.333 0.250

Properties
Formation energy, meV/atom: 1497



DFT (GGA-PBE) results for an optimized crystal structure of AcTbNd.

Cell lengths 5.944, 5.944, 3.633 Å; angles 90.00, 90.00, 120.00 degrees
Positions (direct):
Ac: 0.000 0.000 0.000
Tb: 0.333 0.667 0.000
Nd: 0.667 0.333 0.500

Properties
Formation energy, meV/atom: 115
Energy above the lowest structure with this stoichiometry, eV/f.u.: 0.21



DFT (GGA-PBE) results for an optimized crystal structure of KZnCd2.

Cell lengths 3.419, 4.758, 7.121 Å; angles 90.00, 103.72, 90.00 degrees
Positions (direct):
K: 0.000 0.000 0.000
Zn: 0.638 0.500 0.278
Cd: 0.316 0.500 0.642
Cd: 0.739 0.000 0.489

Properties
Formation energy, meV/atom: 61



DFT (GGA-PBE) results for an optimized crystal structure of Sr2ZnAu2.

Cell lengths 5.865, 5.865, 5.865 Å; angles 117.13, 117.13, 95.04 degrees
Positions (direct):
Sr: 0.250 0.750 0.500
Sr: 0.750 0.250 0.500
Zn: 0.000 0.000 0.000
Au: 0.329 0.329 0.000
Au: 0.671 0.671 0.000

Properties
Formation energy, meV/atom: -487



DFT (GGA-PBE) results for an optimized crystal structure of Cd2RuAu.

Cell lengths 10.115, 10.115, 10.115 Å; angles 16.59, 16.59, 16.59 degrees
Positions (direct):
Cd: 0.000 0.000 0.000
Cd: 0.239 0.239 0.239
Ru: 0.495 0.495 0.495
Au: 0.751 0.751 0.751

Properties
Formation energy, meV/atom: 237
Energy above the lowest structure with this stoichiometry, eV/f.u.: 0.51



DFT (GGA-PBE) results for an optimized crystal structure of ZrGaAu.

Cell lengths 4.180, 5.014, 6.139 Å; angles 76.01, 89.92, 65.44 degrees
Positions (direct):
Zr: 0.158 0.184 0.315
Zr: 0.842 0.816 0.685
Ga: 0.500 0.500 0.000
Ga: 0.500 0.500 0.500
Au: 0.165 0.170 0.825
Au: 0.835 0.830 0.175

Properties
Formation energy, meV/atom: -492



DFT (GGA-PBE) results for an optimized crystal structure of LaNd2SmDy5.

Cell lengths 10.002, 10.002, 10.002 Å; angles 128.02, 128.02, 76.59 degrees
Positions (direct):
La: 0.250 0.250 0.000
La: 0.750 0.750 0.000
Nd: 0.118 0.618 0.736
Nd: 0.382 0.118 0.500
Nd: 0.618 0.882 0.500
Nd: 0.882 0.382 0.264
Sm: 0.250 0.750 0.500
Sm: 0.750 0.250 0.500
Dy: 0.000 0.000 0.000
Dy: 0.072 0.155 0.500
Dy: 0.155 0.655 0.083
Dy: 0.345 0.428 0.500
Dy: 0.428 0.928 0.083
Dy: 0.500 0.500 0.000
Dy: 0.572 0.072 0.917
Dy: 0.655 0.572 0.500
Dy: 0.845 0.345 0.917
Dy: 0.928 0.845 0.500

Properties
Formation energy, meV/atom: 248



DFT (GGA-PBE) results for an optimized crystal structure of CuICl2.

Cell lengths 3.881, 8.065, 7.494 Å; angles 90.00, 90.00, 90.00 degrees
Positions (direct):
Cu: 0.000 0.235 0.000
Cu: 0.500 0.765 0.500
I: 0.000 0.249 0.332
I: 0.500 0.751 0.832
Cl: 0.000 0.433 0.802
Cl: 0.000 0.924 0.412
Cl: 0.500 0.076 0.912
Cl: 0.500 0.567 0.302

Properties
Energy above the lowest structure with this stoichiometry, eV/f.u.: 0.66
E_form (uncorrected), kJ per mole of atoms: -17.8



DFT (GGA-PBE) results for an optimized crystal structure of Ce3U2C4.

Cell lengths 7.289, 7.289, 5.704 Å; angles 100.79, 100.79, 29.04 degrees
Positions (direct):
Ce: 0.000 0.000 0.000
Ce: 0.137 0.137 0.538
Ce: 0.863 0.863 0.462
U: 0.353 0.353 0.968
U: 0.647 0.647 0.032
C: 0.248 0.248 0.217
C: 0.490 0.490 0.372
C: 0.510 0.510 0.628
C: 0.752 0.752 0.783

Properties
Formation energy, meV/atom: -20



DFT (GGA-PBE) results for an optimized crystal structure of Sc2Mn3Ge4.

Cell lengths 6.618, 6.667, 6.642 Å; angles 90.00, 109.92, 90.00 degrees
Positions (direct):
Sc: 0.187 0.175 0.053
Sc: 0.187 0.325 0.553
Sc: 0.813 0.675 0.447
Sc: 0.813 0.825 0.947
Mn: 0.246 0.647 0.247
Mn: 0.246 0.853 0.747
Mn: 0.500 0.000 0.500
Mn: 0.500 0.500 0.000
Mn: 0.754 0.147 0.253
Mn: 0.754 0.353 0.753
Ge: 0.096 0.553 0.855
Ge: 0.096 0.947 0.355
Ge: 0.491 0.642 0.635
Ge: 0.491 0.858 0.135
Ge: 0.509 0.142 0.865
Ge: 0.509 0.358 0.365
Ge: 0.904 0.053 0.645
Ge: 0.904 0.447 0.145

Properties
Formation energy, meV/atom: -441



DFT (GGA-PBE) results for an optimized crystal structure of Sm2In5Rh3.

Cell lengths 13.467, 13.467, 7.321 Å; angles 90.00, 90.00, 160.81 degrees
Positions (direct):
Sm: 0.026 0.974 0.500
Sm: 0.325 0.675 0.601
Sm: 0.675 0.325 0.101
Sm: 0.974 0.026 0.000
In: 0.098 0.902 0.887
In: 0.206 0.794 0.406
In: 0.209 0.791 0.810
In: 0.373 0.627 0.045
In: 0.447 0.553 0.671
In: 0.553 0.447 0.171
In: 0.627 0.373 0.545
In: 0.791 0.209 0.310
In: 0.794 0.206 0.906
In: 0.902 0.098 0.387
Rh: 0.110 0.890 0.268
Rh: 0.270 0.730 0.111
Rh: 0.455 0.545 0.286
Rh: 0.545 0.455 0.786
Rh: 0.730 0.270 0.611
Rh: 0.890 0.110 0.768

Properties
Formation energy, meV/atom: -562



DFT (GGA-PBE) results for an optimized crystal structure of PmSc2Au.

Cell lengths 3.485, 3.485, 7.996 Å; angles 90.00, 90.00, 90.00 degrees
Positions (direct):
Pm: 0.000 0.000 0.000
Sc: 0.500 0.500 0.300
Sc: 0.500 0.500 0.700
Au: 0.000 0.000 0.500

Properties
Formation energy, meV/atom: -370
Energy above the lowest structure with this stoichiometry, eV/f.u.: 0.23



DFT (GGA-PBE) results for an optimized crystal structure of B2C3.

Cell lengths 6.807, 6.807, 3.927 Å; angles 106.23, 106.23, 22.31 degrees
Positions (direct):
B: 0.000 0.000 0.000
B: 0.591 0.591 0.621
B: 0.718 0.718 0.395
B: 0.811 0.811 0.824
C: 0.106 0.106 0.849
C: 0.203 0.203 0.167
C: 0.303 0.303 0.050
C: 0.402 0.402 0.388
C: 0.499 0.499 0.255
C: 0.893 0.893 0.597

Properties
Formation energy, meV/atom: 353
Energy above the lowest structure with this stoichiometry, eV/f.u.: 0.59



DFT (GGA-PBE) results for an optimized crystal structure of Ta2CdRh.

Cell lengths 2.875, 4.201, 5.721 Å; angles 90.00, 90.00, 90.00 degrees
Positions (direct):
Ta: 0.000 0.000 0.236
Ta: 0.000 0.000 0.764
Cd: 0.500 0.500 0.500
Rh: 0.500 0.500 0.000

Properties
Formation energy, meV/atom: -28



DFT (GGA-PBE) results for an optimized crystal structure of ZnSiHg2.

Cell lengths 5.241, 5.241, 5.241 Å; angles 130.60, 130.60, 72.44 degrees
Positions (direct):
Zn: 0.000 0.000 0.000
Si: 0.500 0.500 0.000
Hg: 0.250 0.750 0.500
Hg: 0.750 0.250 0.500

Properties
Energy above the lowest structure with this stoichiometry, eV/f.u.: 0.66
E_form (uncorrected), kJ per mole of atoms: 38.9



DFT (GGA-PBE) results for an optimized crystal structure of YMg2ScAg4.

Cell lengths 8.455, 8.455, 8.455 Å; angles 33.41, 33.41, 33.41 degrees
Positions (direct):
Y: 0.000 0.000 0.000
Mg: 0.248 0.248 0.248
Mg: 0.752 0.752 0.752
Sc: 0.500 0.500 0.500
Ag: 0.128 0.128 0.128
Ag: 0.380 0.380 0.380
Ag: 0.620 0.620 0.620
Ag: 0.872 0.872 0.872

Properties
Formation energy, meV/atom: -291



DFT (GGA-PBE) results for an optimized crystal structure of Pm3CoTe.

Cell lengths 9.775, 9.775, 6.983 Å; angles 97.84, 97.84, 72.33 degrees
Positions (direct):
Pm: 0.013 0.184 0.954
Pm: 0.151 0.658 0.543
Pm: 0.184 0.013 0.454
Pm: 0.331 0.475 0.055
Pm: 0.342 0.849 0.957
Pm: 0.475 0.331 0.555
Pm: 0.525 0.669 0.445
Pm: 0.658 0.151 0.043
Pm: 0.669 0.525 0.945
Pm: 0.816 0.987 0.546
Pm: 0.849 0.342 0.457
Pm: 0.987 0.816 0.046
Co: 0.082 0.918 0.750
Co: 0.266 0.734 0.250
Co: 0.734 0.266 0.750
Co: 0.918 0.082 0.250
Te: 0.156 0.352 0.688
Te: 0.352 0.156 0.188
Te: 0.648 0.844 0.812
Te: 0.844 0.648 0.312

Properties
Energy above the lowest structure with this stoichiometry, eV/f.u.: 0.36
E_form (uncorrected), kJ per mole of atoms: -52.2



DFT (GGA-PBE) results for an optimized crystal structure of LiTaAs3.

Cell lengths 5.021, 5.021, 5.021 Å; angles 90.00, 90.00, 90.00 degrees
Positions (direct):
Li: 0.000 0.000 0.000
Ta: 0.500 0.500 0.500
As: 0.000 0.500 0.500
As: 0.500 0.000 0.500
As: 0.500 0.500 0.000

Properties
Formation energy, meV/atom: 49
Energy above the lowest structure with this stoichiometry, eV/f.u.: 0.00



DFT (GGA-PBE) results for an optimized crystal structure of Cd2RuCl.

Cell lengths 3.086, 3.086, 8.528 Å; angles 90.00, 90.00, 90.00 degrees
Positions (direct):
Cd: 0.000 0.000 0.000
Cd: 0.500 0.500 0.276
Ru: 0.500 0.500 0.780
Cl: 0.000 0.000 0.594

Properties
Energy above the lowest structure with this stoichiometry, eV/f.u.: 1.09
E_form (uncorrected), kJ per mole of atoms: 28.2